Entry from Alexandria via LeMat-Bulk: a relaxed structure of CaPW2 (PBE).

abc: 5.6031 5.6031 5.6031
angles: 140.11 140.11 57.69
Closest atoms and distances in Å follow each position.
Fractional positions:
P 0.7500 0.2500 0.5000  4 Ca 2.70
W 0.5000 0.5000 0.0000  4 W 2.70
W 0.0000 0.0000 0.0000  4 W 2.70
Ca 0.2500 0.7500 0.5000  4 P 2.70

Calculated values
* relative energy among the computed polymorphs: 548 meV/atom
* density: 10158 kg/m3
* ΔH_f (0 K): 640 meV/atom

---

Entry from Alexandria via LeMat-Bulk: a relaxed structure of MnRhBr2 (PBE).

abc: 8.0672 8.0672 8.0672
angles: 27.61 27.61 27.61
Closest atoms and distances in Å follow each position.
Fractional positions:
Rh 0.5000 0.5000 0.5000  6 Br 2.67
Br 0.1029 0.1029 0.1029  1 Mn 2.39, 3 Rh 2.67
Br 0.8971 0.8971 0.8971  1 Mn 2.39, 3 Rh 2.67
Mn 0.0000 0.0000 0.0000  2 Br 2.39

Calculated values
* relative energy among the computed polymorphs: 493 meV/atom
* density: 5300 kg/m3

---

Entry from Alexandria via LeMat-Bulk: a relaxed structure of Tl3CdSe (PBE).

abc: 6.0526 6.0526 6.0526
angles: 90.00 90.00 90.00
Closest atoms and distances in Å follow each position.
Fractional positions:
Cd 0.5000 0.5000 0.5000  12 Tl 4.28
Se 0.0000 0.0000 0.0000  6 Tl 3.03
Tl 0.0000 0.5000 0.0000  2 Se 3.03
Tl 0.5000 0.0000 0.0000  2 Se 3.03
Tl 0.0000 0.0000 0.5000  2 Se 3.03

Calculated values
* relative energy among the computed polymorphs: 0 meV/atom
* density: 6025 kg/m3

---

The calculation returns the following total moment values, one per record and in order: 0.0, 2.4, 0.0 μB per formula unit.